Na2BeH4 | GGA-PBE | optimized geometry

Lattice parameters (Å, degrees): 5.0137 4.9200 6.7223 90.00 100.76 90.00
With the nearest neighbours (Å) after each atom.
Element x y z (fractional)
Na  0.2261  0.2500  0.0294  8 H 2.31-2.53
Na  0.2504  0.2500  0.5353  5 H 2.27-2.40
Na  0.7496  0.7500  0.4647  5 H 2.27-2.40
Na  0.7739  0.7500  0.9706  8 H 2.31-2.53
Be  0.2160  0.7500  0.7808  4 H 1.43-1.45
Be  0.7840  0.2500  0.2192  4 H 1.43-1.45
H  0.0418  0.5188  0.7349  1 Be 1.43
H  0.0418  0.9812  0.7349  1 Be 1.43
H  0.3202  0.7500  0.9947  1 Be 1.44
H  0.4271  0.7500  0.6603  1 Be 1.45
H  0.5729  0.2500  0.3397  1 Be 1.45
H  0.6798  0.2500  0.0053  1 Be 1.44
H  0.9582  0.0188  0.2651  1 Be 1.43
H  0.9582  0.4812  0.2651  1 Be 1.43

Output
**Energy above the lowest structure with this stoichiometry**: 0 meV/atom
**Total magnetization**: 0.00 μB per formula unit
**Calculated volume**: 11.64 Å³ per atom